Entry 1:
Crystalline MgBe2Fe at its relaxed geometry, computed with PBEsol.

abc: 2.793 4.049 4.646
angles: 115.84 107.49 90.00
Each line ends with the local moment (μB).
Fractional coordinates of all 4 atoms:
Be 0.773 0.773 0.546  -0.02
Be 0.227 0.227 0.454  -0.02
Fe 0.500 0.000 0.000  1.08
Mg 0.000 0.500 0.000  -0.01



Entry 2:
Crystalline SrTcAu2 at its relaxed geometry, computed with PBEsol.

E above lowest polymorph = 18.0 kJ/mol of atoms

abc: 4.198 4.198 5.387
angles: 112.93 112.93 90.00
Each line ends with the local moment (μB).
Fractional coordinates of all 4 atoms:
Au 0.750 0.250 0.500  0.05
Au 0.000 0.000 0.000  0.06
Sr 0.500 0.500 0.000  0.03
Tc 0.250 0.750 0.500  2.36



Number 1: VASP energy -4.396 eV/atom, formation enthalpy at 0 K 0.274 eV per atom. Number 2: VASP energy -4.868 eV/atom, formation enthalpy at 0 K 0.371 eV per atom.